No. 1
# TeOsSe2 PBE-GGA optimized geometry
# V = 87 Å³ per cell
# Raw total energy = -19.68 eV/f.u.
# Raw formation energy = 0.416 eV/atom
data_TeOsSe2
_chemical_formula_sum 'Te1 Os1 Se2'
_symmetry_space_group_name_H-M 'P 4 m m'
_symmetry_Int_Tables_number 99
_cell_length_a 3.021
_cell_length_b 3.021
_cell_length_c 9.508
_cell_angle_alpha 90.00
_cell_angle_beta 90.00
_cell_angle_gamma 90.00
loop_
_symmetry_equiv_pos_as_xyz
'x,y,z'
'-y,x,z'
'-x,-y,z'
'y,-x,z'
'-x,y,z'
'y,x,z'
'x,-y,z'
'-y,-x,z'
loop_
_atom_site_label
_atom_site_fract_x
_atom_site_fract_y
_atom_site_fract_z
Te1 0.000 0.000 0.000
Os1 0.500 0.500 0.216
Se1 0.000 0.000 0.369
Se2 0.500 0.500 0.684

No. 2
# Y3Ru5 PBE-GGA optimized geometry
# V = 292 Å³ per cell
# Energy relative to the elements = -0.02 eV/atom
# Raw total energy = -65.95 eV/f.u.
# Energy above the lowest structure with this stoichiometry = 0 kJ/mol of formula units
data_Y3Ru5
_chemical_formula_sum 'Y6 Ru10'
_symmetry_space_group_name_H-M 'C m m m'
_symmetry_Int_Tables_number 65
_symmetry_space_group_name_Hall '-C 2 2'
_cell_length_a 6.670
_cell_length_b 9.428
_cell_length_c 4.647
_cell_angle_alpha 90.00
_cell_angle_beta 90.00
_cell_angle_gamma 90.00
loop_
_atom_site_label
_atom_site_fract_x
_atom_site_fract_y
_atom_site_fract_z
Y1 0.000 0.000 0.000
Y2 0.000 0.254 0.500
Ru1 0.000 0.500 0.000
Ru2 0.230 0.500 0.500
Ru3 0.250 0.250 0.000

No. 3
# BaTbPb2 PBE-GGA optimized geometry
# V = 136 Å³ per cell
# Energy relative to the elements = -0.48 eV/atom
# Raw total energy = -15.90 eV/f.u.
data_BaTbPb2
_chemical_formula_sum 'Ba1 Tb1 Pb2'
_symmetry_space_group_name_H-M 'P 4/m m m'
_symmetry_Int_Tables_number 123
_symmetry_space_group_name_Hall '-P 4 2'
_cell_length_a 4.173
_cell_length_b 4.173
_cell_length_c 7.787
_cell_angle_alpha 90.00
_cell_angle_beta 90.00
_cell_angle_gamma 90.00
loop_
_atom_site_label
_atom_site_fract_x
_atom_site_fract_y
_atom_site_fract_z
Ba1 0.000 0.000 0.000
Tb1 0.000 0.000 0.500
Pb1 0.500 0.500 0.294

No. 4
# Sb2Se2S PBE-GGA optimized geometry
# V = 251 Å³ per cell
# Raw total energy = -19.69 eV/f.u.
# Raw formation energy = -0.070 eV/atom
data_Sb2Se2S
_chemical_formula_sum 'Sb4 Se4 S2'
_symmetry_space_group_name_H-M 'P 4/m b m'
_symmetry_Int_Tables_number 127
_symmetry_space_group_name_Hall '-P 4 2ab'
_cell_length_a 7.871
_cell_length_b 7.871
_cell_length_c 4.048
_cell_angle_alpha 90.00
_cell_angle_beta 90.00
_cell_angle_gamma 90.00
loop_
_atom_site_label
_atom_site_fract_x
_atom_site_fract_y
_atom_site_fract_z
Sb1 0.200 0.300 0.000
Se1 0.141 0.641 0.500
S1 0.000 0.000 0.000

What is the formula in the fourth record? Sb2Se2S

Which value of raw total energy does entry 3 give? -15.90 eV/f.u.